No. 1
Computed, not measured: a relaxed structure of CaMn3O4 at the PBE+U level of DFT.

Cell: 3.258 5.613 5.613 Å, 109.57 90.00 90.00°
Last column: magnetic moment on the atom in μB.
Positions (direct):
Ca (0.000, 0.500, 0.500)  0.01
Mn (0.500, 0.500, 0.000)  4.64
Mn (0.500, 0.000, 0.500)  4.64
Mn (0.000, 0.000, 0.000)  4.62
O (0.000, 0.245, 0.755)  0.12
O (0.500, 0.241, 0.241)  0.10
O (0.500, 0.759, 0.759)  0.10
O (0.000, 0.755, 0.245)  0.12

Computed properties:
- E: -7.47 eV/atom
- Total magnetization: 15.0 μB/cell

---

No. 2
Computed, not measured: a relaxed structure of CaMn2O4 at the PBE+U level of DFT.

Cell: 6.251 6.207 11.104 Å, 73.77 89.44 60.24°
Last column: magnetic moment on the atom in μB.
Positions (direct):
Ca (0.488, 0.024, 0.485)  0.01
Ca (0.988, 0.002, 0.985)  0.01
Ca (0.690, 0.614, 0.063)  0.01
Ca (0.190, 0.632, 0.563)  0.01
Mn (0.432, 0.636, 0.310)  3.93
Mn (0.932, 0.622, 0.810)  3.93
Mn (0.940, 0.126, 0.314)  3.34
Mn (0.438, 0.117, 0.811)  3.93
Mn (0.938, 0.634, 0.311)  3.93
Mn (0.440, 0.620, 0.814)  3.34
Mn (0.887, 0.233, 0.640)  4.58
Mn (0.387, 0.239, 0.140)  4.58
O (0.837, 0.331, 0.438)  0.02
O (0.337, 0.393, 0.938)  0.02
O (0.040, 0.926, 0.196)  0.04
O (0.540, 0.838, 0.696)  0.04
O (0.589, 0.368, 0.221)  -0.06
O (0.091, 0.365, 0.715)  -0.04
O (0.591, 0.829, 0.215)  -0.04
O (0.089, 0.822, 0.721)  -0.06
O (0.045, 0.376, 0.214)  -0.07
O (0.545, 0.365, 0.714)  -0.07
O (0.844, 0.880, 0.409)  -0.08
O (0.344, 0.867, 0.909)  -0.08
O (0.275, 0.451, 0.403)  -0.07
O (0.778, 0.431, 0.904)  -0.07
O (0.278, 0.887, 0.404)  -0.07
O (0.775, 0.871, 0.903)  -0.07

Computed properties:
- E: -7.22 eV/atom
- Total magnetization: 32.0 μB/cell

---

No. 3
Computed, not measured: a relaxed structure of CaMn2O4 at the PBE+U level of DFT.

Cell: 6.221 6.221 6.348 Å, 91.57 118.32 119.21°
Last column: magnetic moment on the atom in μB.
Positions (direct):
Ca (0.027, 0.005, 0.032)  0.01
Ca (0.247, 0.625, 0.873)  0.01
Mn (0.751, 0.123, 0.379)  3.93
Mn (0.746, 0.626, 0.372)  3.34
Mn (0.256, 0.628, 0.379)  3.93
Mn (0.473, 0.247, 0.720)  4.58
O (0.728, 0.397, 0.125)  0.03
O (0.760, 0.847, 0.607)  0.04
O (0.740, 0.376, 0.570)  -0.07
O (0.189, 0.368, 0.557)  -0.04
O (0.195, 0.830, 0.570)  -0.07
O (0.315, 0.437, 0.183)  -0.08
O (0.323, 0.878, 0.201)  -0.06
O (0.746, 0.868, 0.183)  -0.08

Computed properties:
- E: -7.22 eV/atom
- Total magnetization: 16.0 μB/cell

---

No. 4
Computed, not measured: a relaxed structure of CaMn2O4 at the PBE+U level of DFT.

Cell: 6.156 6.156 11.755 Å, 89.67 89.67 54.75°
Last column: magnetic moment on the atom in μB.
Positions (direct):
Ca (0.783, 0.217, 0.500)  0.01
Ca (0.718, 0.282, 0.000)  0.01
Ca (0.750, 0.750, 0.250)  0.01
Ca (0.250, 0.250, 0.750)  0.01
Mn (0.468, 0.475, 0.271)  3.92
Mn (0.032, 0.024, 0.229)  3.92
Mn (0.525, 0.532, 0.729)  3.92
Mn (0.976, 0.968, 0.771)  3.92
Mn (0.029, 0.525, 0.017)  3.92
Mn (0.475, 0.971, 0.983)  3.92
Mn (0.025, 0.529, 0.517)  3.92
Mn (0.471, 0.975, 0.483)  3.92
O (0.829, 0.347, 0.320)  -0.05
O (0.349, 0.837, 0.323)  -0.02
O (0.848, 0.329, 0.820)  -0.05
O (0.337, 0.850, 0.823)  -0.02
O (0.673, 0.654, 0.072)  -0.03
O (0.142, 0.164, 0.072)  -0.03
O (0.664, 0.642, 0.572)  -0.03
O (0.154, 0.173, 0.572)  -0.03
O (0.150, 0.663, 0.177)  -0.02
O (0.671, 0.152, 0.180)  -0.05
O (0.163, 0.651, 0.677)  -0.02
O (0.653, 0.171, 0.680)  -0.05
O (0.358, 0.336, 0.428)  -0.03
O (0.827, 0.846, 0.428)  -0.03
O (0.346, 0.327, 0.928)  -0.03
O (0.836, 0.858, 0.928)  -0.03

Computed properties:
- E: -7.22 eV/atom
- Total magnetization: 32.0 μB/cell